{
  "formula": "ScAsP",
  "functional": "PBE",
  "state": "optimized geometry",
  "space_group": "No. 187",
  "n_ef_per_ev_cell": 1.808,
  "de_polymorph_ev_per_atom": 0.315,
  "delta_e_f_ev_per_atom": -0.3861,
  "cell": [[4.310, 0.000, 0.000], [-2.155, 3.733, 0.000], [0.000, 0.000, 3.476]],
  "species": ["Sc", "As", "P"],
  "frac_coords": [[0.000, 0.000, 0.000], [0.333, 0.667, 0.500], [0.667, 0.333, 0.500]]
}